1.
Below is a relaxed CdReAs2 crystal, with properties calculated at the PBE-GGA level.

a b c (Å): 3.066 3.066 8.589
angles (deg): 90.00 90.00 90.00
Atoms (fractional coordinates):
Re (0.500, 0.500, 0.750)
As (0.000, 0.000, 0.926)
As (0.000, 0.000, 0.574)
Cd (0.500, 0.500, 0.250)

- Space-group type: P4/mmm, No. 123

=====

2.
Below is a relaxed CdReAs2 crystal, with properties calculated at the PBE-GGA level.

a b c (Å): 4.707 3.440 4.883
angles (deg): 69.32 90.00 90.00
Atoms (fractional coordinates):
Re (0.500, 0.931, 0.764)
As (0.000, 0.813, 0.998)
As (0.500, 0.219, 0.187)
Cd (0.000, 0.537, 0.551)

- Space-group type: Amm2, No. 38

=====

3.
Below is a relaxed CdReAs2 crystal, with properties calculated at the PBE-GGA level.

a b c (Å): 3.242 3.242 7.178
angles (deg): 90.00 90.00 90.00
Atoms (fractional coordinates):
Re (0.500, 0.500, 0.810)
As (0.000, 0.000, 0.960)
As (0.500, 0.500, 0.196)
Cd (0.000, 0.000, 0.534)

- Space-group type: P4mm, No. 99

=====

4.
Below is a relaxed CdReAs crystal, with properties calculated at the PBE-GGA level.

a b c (Å): 5.566 5.566 5.566
angles (deg): 146.27 146.27 48.44
Atoms (fractional coordinates):
Re (0.639, 0.639, 0.000)
As (0.030, 0.030, 0.000)
Cd (0.331, 0.331, 0.000)

- Space-group type: I4mm, No. 107
- Distance to the lowest polymorph of the same formula: 61 meV/atom

=====

5.
Below is a relaxed Cd3ReAs crystal, with properties calculated at the PBE-GGA level.

a b c (Å): 5.158 5.158 5.158
angles (deg): 90.00 90.00 90.00
Atoms (fractional coordinates):
Re (0.500, 0.500, 0.500)
As (0.000, 0.000, 0.000)
Cd (0.000, 0.500, 0.000)
Cd (0.000, 0.000, 0.500)
Cd (0.500, 0.000, 0.000)

- Space-group type: Pm-3m, No. 221
- Distance to the lowest polymorph of the same formula: 119 meV/atom

=====

6.
Below is a relaxed CdReAs crystal, with properties calculated at the PBE-GGA level.

a b c (Å): 8.576 8.356 2.883
angles (deg): 84.54 75.90 19.55
Atoms (fractional coordinates):
Re (0.655, 0.655, 0.345)
As (0.036, 0.036, 0.964)
Cd (0.309, 0.309, 0.691)

- Space-group type: Fmm2, No. 42
- Distance to the lowest polymorph of the same formula: 229 meV/atom

=====

7.
Below is a relaxed CdReAs2 crystal, with properties calculated at the PBE-GGA level.

a b c (Å): 4.586 4.586 6.462
angles (deg): 70.90 70.90 40.31
Atoms (fractional coordinates):
Re (0.225, 0.225, 0.090)
As (0.928, 0.928, 0.132)
As (0.772, 0.772, 0.772)
Cd (0.575, 0.575, 0.507)

- Space-group type: Cm, No. 8

=====

8.
Below is a relaxed CdReAs2 crystal, with properties calculated at the PBE-GGA level.

a b c (Å): 3.365 4.924 4.309
angles (deg): 90.00 90.00 90.00
Atoms (fractional coordinates):
Re (0.000, 0.500, 0.500)
As (0.000, 0.000, 0.000)
As (0.500, 0.500, 0.000)
Cd (0.500, 0.000, 0.500)

- Space-group type: Pmmm, No. 47

=====

9.
Below is a relaxed CdRe4As crystal, with properties calculated at the PBE-GGA level.

a b c (Å): 5.287 5.287 5.287
angles (deg): 60.00 60.00 60.00
Atoms (fractional coordinates):
Cd (0.000, 0.000, 0.000)
Re (0.874, 0.375, 0.375)
Re (0.375, 0.375, 0.874)
Re (0.375, 0.874, 0.375)
Re (0.375, 0.375, 0.375)
As (0.750, 0.750, 0.750)

- Space-group type: F-43m, No. 216

=====

10.
Below is a relaxed Cd3ReAs crystal, with properties calculated at the PBE-GGA level.

a b c (Å): 5.250 5.250 5.250
angles (deg): 90.00 90.00 90.00
Atoms (fractional coordinates):
Re (0.000, 0.000, 0.000)
As (0.500, 0.500, 0.500)
Cd (0.000, 0.500, 0.000)
Cd (0.000, 0.000, 0.500)
Cd (0.500, 0.000, 0.000)

- Space-group type: Pm-3m, No. 221
- Distance to the lowest polymorph of the same formula: 0 meV/atom

=====

11.
Below is a relaxed CdReAs2 crystal, with properties calculated at the PBE-GGA level.

a b c (Å): 4.647 4.647 3.306
angles (deg): 89.66 89.66 79.55
Atoms (fractional coordinates):
Re (0.000, 0.500, 0.500)
As (0.000, 0.000, 0.000)
As (0.500, 0.500, 0.000)
Cd (0.500, 0.000, 0.500)

- Space-group type: C2/m, No. 12

=====

12.
Below is a relaxed CdReAs crystal, with properties calculated at the PBE-GGA level.

a b c (Å): 4.373 4.373 4.373
angles (deg): 60.00 60.00 60.00
Atoms (fractional coordinates):
Re (0.750, 0.750, 0.750)
As (0.000, 0.000, 0.000)
Cd (0.500, 0.500, 0.500)

- Space-group type: F-43m, No. 216
- Distance to the lowest polymorph of the same formula: 516 meV/atom

=====

What DFT formation energy values result from the calculations? In sequence: 0.0987 0.3605 0.3868 0.2928 1.4141 0.4603 0.1355 0.7860 0.7284 1.2955 0.6586 0.7475 eV per atom.
What total energy values result from the calculations? In sequence: -5.567 -5.305 -5.279 -5.711 -2.554 -5.544 -5.530 -4.880 -8.498 -2.673 -5.007 -5.257 eV per atom.
What size of the total moment values result from the calculations? In sequence: 0.00 0.00 0.00 0.00 3.71 0.14 0.00 0.00 0.00 2.23 0.31 0.00 μB per cell.